This record from OQMD describes a relaxed structure of Cs2Rb4ZnCoO5. The functional is GGA+U.

Values from the calculation:
The calculation puts the energy above the most stable polymorph in this dataset at 0 meV/atom. As for the crystal system: monoclinic. Its mass density is 4.4 g cm⁻³.

abc: 7.012 7.012 6.993
angles: 92.99 92.99 117.35
Element x y z (fractional)
Cs  0.202  0.798  0.000
Cs  0.798  0.202  0.000
Rb  0.236  0.766  0.498
Rb  0.353  0.353  0.189
Rb  0.623  0.623  0.811
Rb  0.766  0.236  0.498
Zn  0.205  0.205  0.653
Co  0.792  0.792  0.305
O  0.048  0.048  0.413
O  0.169  0.441  0.763
O  0.441  0.169  0.763
O  0.552  0.823  0.243
O  0.823  0.552  0.243